(1)
The following is a PBE calculation of an optimized crystal structure of RbYSe2O6, from Alexandria via LeMat-Bulk.

Computed properties:
Magnetic moment: 0.00 μB/f.u.
Calculated density: 3.85 Mg/m³
Polymorph energy (0 for the lowest one): 67 meV/atom
Formation energy (no corrections): -1730 meV/atom
D(E_F): 0.0 states/eV/f.u.
Symmetry: R-3 (148)
Final energy: -61.45 eV/cell

POSCAR file:
```
RbYSe2O6
1.0
5.754 0.000 0.000
2.877 4.983 0.000
2.877 1.661 6.448
Rb Y Se O
1 1 2 6
Direct
0.000 0.000 0.000
0.500 0.500 0.500
0.730 0.730 0.810
0.270 0.270 0.190
0.069 0.534 0.705
0.692 0.069 0.705
0.466 0.308 0.295
0.931 0.466 0.295
0.308 0.931 0.295
0.534 0.692 0.705
```

***

(2)
The following is a PBE calculation of an optimized crystal structure of RbY3Se4O12, from Alexandria via LeMat-Bulk.

Computed properties:
Magnetic moment: 0.80 μB/f.u.
Calculated density: 3.85 Mg/m³
Formation energy (no corrections): -1608 meV/atom
D(E_F): 8.7 states/eV/f.u.
Symmetry: R32 (155)
Final energy: -125.95 eV/cell

POSCAR file:
```
RbY3Se4O12
1.0
7.643 -0.231 -0.321
-2.066 7.362 -0.321
-2.066 -2.641 6.879
Rb Y Se O
1 3 4 12
Direct
0.000 0.000 0.000
0.567 0.433 0.000
0.433 0.000 0.567
0.000 0.567 0.433
0.933 0.067 0.500
0.067 0.500 0.933
0.500 0.933 0.067
0.500 0.500 0.500
0.500 0.345 0.655
0.884 0.500 0.116
0.116 0.884 0.500
0.500 0.116 0.884
0.375 0.919 0.222
0.222 0.375 0.919
0.919 0.222 0.375
0.625 0.778 0.081
0.081 0.625 0.778
0.778 0.081 0.625
0.655 0.500 0.345
0.345 0.655 0.500
```

***

(3)
The following is a PBE calculation of an optimized crystal structure of RbYSe2O8, from Alexandria via LeMat-Bulk.

Computed properties:
Magnetic moment: 0.00 μB/f.u.
Calculated density: 3.33 Mg/m³
Formation energy (no corrections): -1547 meV/atom
D(E_F): 0.0 states/eV/f.u.
Symmetry: P-3 (147)
Final energy: -72.63 eV/cell

POSCAR file:
```
RbYSe2O8
1.0
5.513 0.000 0.000
-2.756 4.774 0.000
0.000 0.000 8.732
Rb Y Se O
1 1 2 8
Direct
0.000 0.000 0.000
0.000 0.000 0.500
0.667 0.333 0.273
0.333 0.667 0.727
0.333 0.667 0.915
0.355 0.271 0.340
0.729 0.084 0.340
0.667 0.333 0.085
0.271 0.916 0.660
0.645 0.729 0.660
0.084 0.355 0.660
0.916 0.645 0.340
```

***

(4)
The following is a PBE calculation of an optimized crystal structure of Rb2YSe2O6, from Alexandria via LeMat-Bulk.

Computed properties:
Magnetic moment: 0.00 μB/f.u.
Calculated density: 4.08 Mg/m³
Formation energy (no corrections): -1562 meV/atom
D(E_F): 2.7 states/eV/f.u.
Symmetry: C2/m (12)
Final energy: -62.30 eV/cell

POSCAR file:
```
Rb2YSe2O6
1.0
-3.294 5.075 -1.647
-1.885 -3.840 3.873
5.012 4.326 3.308
Rb Y Se O
2 1 2 6
Direct
0.704 0.408 0.148
0.296 0.592 0.852
0.500 0.000 0.500
0.922 0.844 0.759
0.078 0.156 0.241
0.752 0.504 0.566
0.238 0.976 0.266
0.262 0.024 0.734
0.762 0.024 0.734
0.738 0.976 0.266
0.248 0.496 0.434
```